# AgPb5, relaxed, DFT PBEsol
# Electronic total energy, Ha/atom: -0.1389
# ΔH_f (0 K), eV per atom: 0.103
data_AgPb5
_space_group_name_H-M_alt 'P -6 2 m'
_space_group_IT_number 189
_space_group_name_Hall 'P -6 -2'
_cell_length_a 5.9238
_cell_length_b 5.9238
_cell_length_c 5.4361
_cell_angle_alpha 90.00
_cell_angle_beta 90.00
_cell_angle_gamma 120.00
loop_
_atom_site_label
_atom_site_fract_x
_atom_site_fract_y
_atom_site_fract_z
Ag1 0.0000 0.0000 0.0000
Pb1 0.0000 0.3219 0.5000
Pb2 0.3333 0.6667 0.0000

# PmAg2Pb, relaxed, DFT PBEsol
# Electronic total energy, Ha/atom: -0.1558
# ΔH_f (0 K), eV per atom: -0.299
data_PmAg2Pb
_space_group_name_H-M_alt 'F m -3 m'
_space_group_IT_number 225
_space_group_name_Hall '-F 4 2 3'
_cell_length_a 7.0799
_cell_length_b 7.0799
_cell_length_c 7.0799
_cell_angle_alpha 90.00
_cell_angle_beta 90.00
_cell_angle_gamma 90.00
loop_
_atom_site_label
_atom_site_fract_x
_atom_site_fract_y
_atom_site_fract_z
Pm1 0.0000 0.0000 0.0000
Ag1 0.2500 0.2500 0.2500
Pb1 0.0000 0.0000 0.5000

# ReAgPb2, relaxed, DFT PBEsol
# Electronic total energy, Ha/atom: -0.1940
# ΔH_f (0 K), eV per atom: 0.881
data_ReAgPb2
_space_group_name_H-M_alt 'C 1 2/m 1'
_space_group_IT_number 12
_cell_length_a 9.1550
_cell_length_b 3.2133
_cell_length_c 5.7129
_cell_angle_alpha 90.00
_cell_angle_beta 100.69
_cell_angle_gamma 90.00
loop_
_space_group_symop_operation_xyz
'x,y,z'
'-x,-y,-z'
'-x,y,-z'
'x,-y,z'
'x+1/2,y+1/2,z'
'-x+1/2,-y+1/2,-z'
'-x+1/2,y+1/2,-z'
'x+1/2,-y+1/2,z'
loop_
_atom_site_label
_atom_site_fract_x
_atom_site_fract_y
_atom_site_fract_z
Re1 0.0000 0.0000 0.0000
Ag1 0.0000 0.5000 0.5000
Pb1 0.2412 0.5000 0.2343

ΔH_f (0 K) of number 2 (PmAg2Pb)?
-0.299 eV per atom

The lowest ΔH_f (0 K) belongs to which entry?
PmAg2Pb

Which of these has the lowest ΔH_f (0 K)?
PmAg2Pb

Among the records above, which one has the highest electronic total energy?
AgPb5